Ac8AlSi3Br4 PBE relaxed; energy relative to the elements, uncorrected = -15.3 eV/f.u.; SG = R-3m
1.0
4.6267 2.6712 7.5565
-4.6267 2.6712 7.5565
0.0000 -5.3425 7.5565
Ac Al Si Br
8 1 3 4
Direct
0.2356 0.7419 0.7419
0.2383 0.2383 0.2383
0.2581 0.2581 0.7644
0.2581 0.7644 0.2581
0.7419 0.2356 0.7419
0.7419 0.7419 0.2356
0.7617 0.7617 0.7617
0.7644 0.2581 0.2581
0.5000 0.5000 0.5000
0.0000 0.0000 0.5000
0.0000 0.5000 0.0000
0.5000 0.0000 0.0000
0.0000 0.0000 0.0000
0.0000 0.5000 0.5000
0.5000 0.0000 0.5000
0.5000 0.5000 0.0000

CdCuMo4 PBE relaxed; calculated formation energy = 58.0 kJ per mole of atoms; SG = F-43m
1.0
0.0000 3.7209 3.7209
3.7209 0.0000 3.7209
3.7209 3.7209 0.0000
Cd Cu Mo
1 1 4
Direct
0.0000 0.0000 0.0000
0.7500 0.7500 0.7500
0.3759 0.3759 0.3759
0.3759 0.3759 0.8724
0.3759 0.8724 0.3759
0.8724 0.3759 0.3759

AcDyTe2 PBE relaxed; energy relative to the elements, uncorrected = -5.4 eV/f.u.; SG = R3m
1.0
4.3235 0.0000 0.0000
-2.1617 3.7442 0.0000
0.0000 0.0000 24.7044
Ac Dy Te
3 3 6
Direct
0.0000 0.0000 0.0000
0.3333 0.6667 0.6667
0.6667 0.3333 0.3333
0.0000 0.0000 0.8266
0.3333 0.6667 0.4933
0.6667 0.3333 0.1599
0.0000 0.0000 0.4208
0.0000 0.0000 0.5730
0.3333 0.6667 0.0875
0.3333 0.6667 0.2397
0.6667 0.3333 0.7541
0.6667 0.3333 0.9063

SrPI3 PBE relaxed; energy relative to the elements, uncorrected = -0.7 eV/f.u.; SG = Pm-3m
1.0
6.4507 0.0000 0.0000
0.0000 6.4507 0.0000
0.0000 0.0000 6.4507
Sr P I
1 1 3
Direct
0.0000 0.0000 0.0000
0.5000 0.5000 0.5000
0.0000 0.0000 0.5000
0.0000 0.5000 0.0000
0.5000 0.0000 0.0000

Sm2GeBr PBE relaxed; energy relative to the elements, uncorrected = -4.1 eV/f.u.; SG = Pmmn
1.0
4.2415 0.0000 0.0000
0.0000 7.2842 0.0000
0.0000 0.0000 7.4966
Sm Ge Br
4 2 2
Direct
0.2500 0.0052 0.2155
0.2500 0.4948 0.2155
0.7500 0.5052 0.7845
0.7500 0.9948 0.7845
0.2500 0.7500 0.9101
0.7500 0.2500 0.0899
0.2500 0.2500 0.5766
0.7500 0.7500 0.4234

NbTe2AuN PBE relaxed; energy relative to the elements, uncorrected = 1.5 eV/f.u.; SG = P4/mmm
1.0
5.5460 0.0000 0.0000
0.0000 5.5460 0.0000
0.0000 0.0000 3.8965
Nb Te Au N
1 2 1 1
Direct
0.0000 0.0000 0.0000
0.0000 0.5000 0.0000
0.5000 0.0000 0.0000
0.5000 0.5000 0.5000
0.0000 0.0000 0.5000

Computed mass density (g cm⁻³) in order:
6.66, 9.02, 8.03, 3.09, 6.50, 7.75
Computed calculated volume (A^3/atom) in order:
35.02, 17.17, 33.33, 53.68, 28.95, 23.97